1.
Material: PrZrPO
Method: DFT, PBE
State: optimized geometry

Unit cell a=4.0655 b=7.7510 c=5.2196 alpha=90.00 beta=90.00 gamma=90.00
With the nearest neighbours (Å) after each atom.
Atoms (fractional coordinates):
P: 0.5000 0.8747 0.4383  3 Zr 2.59-2.69, 2 Pr 2.76
Pr: 0.0000 0.3661 0.9389  3 O 2.52-2.65, 2 P 2.76
Zr: 0.5000 0.7914 0.9384  2 O 2.18
O: 0.0000 0.3093 0.4385  2 Zr 2.18
O: 0.0000 0.6907 0.9385  2 Zr 2.18
Zr: 0.5000 0.2086 0.4384  2 O 2.18
P: 0.5000 0.1253 0.9383  3 Zr 2.59-2.69, 2 Pr 2.76
Pr: 0.0000 0.6339 0.4389  3 O 2.52-2.65, 2 P 2.76

Calculated values
VASP energy (eV per atom): -7.69
Total magnetization (μB per formula unit): 0.004
Symmetry: Pmma (51)
Calculated density (g/cm³): 5.64

2.
Material: YIrPd
Method: DFT, PBE
State: optimized geometry

Unit cell a=4.5301 b=4.5301 c=4.5301 alpha=60.00 beta=60.00 gamma=60.00
With the nearest neighbours (Å) after each atom.
Atoms (fractional coordinates):
Ir: 0.2500 0.2500 0.2500  4 Y 2.77
Pd: 0.7500 0.7500 0.7500  4 Y 2.77
Y: 0.0000 0.0000 0.0000  4 Ir 2.77, 4 Pd 2.77

Calculated values
Total magnetization (μB per formula unit): 0.006
Formation energy (meV/atom): 39
Symmetry: F-43m (216)
Calculated density (g/cm³): 9.79

3.
Material: La2P2IrOsSe2
Method: DFT, PBE
State: optimized geometry

Unit cell a=4.0753 b=4.0753 c=9.9691 alpha=90.00 beta=90.00 gamma=90.00
With the nearest neighbours (Å) after each atom.
Atoms (fractional coordinates):
Se: 0.0000 0.0000 0.5000  4 Se 2.88, 4 La 3.12
P: 0.5000 0.0000 0.8723  2 Os 2.40, 2 Ir 2.40
Se: 0.5000 0.5000 0.5000  4 Se 2.88, 4 La 3.12
La: 0.0000 0.5000 0.7370  4 Se 3.12, 4 P 3.18, 2 Os 3.32, 2 Ir 3.32
Os: 0.5000 0.5000 0.0000  4 P 2.40
P: 0.0000 0.5000 0.1277  2 Os 2.40, 2 Ir 2.40
La: 0.5000 0.0000 0.2630  4 Se 3.12, 4 P 3.18, 2 Os 3.32, 2 Ir 3.32
Ir: 0.0000 0.0000 0.0000  4 P 2.40

Calculated values
VASP energy (eV per atom): -7.03
Total magnetization (μB per formula unit): 0.015
Symmetry: P-4m2 (115)
Calculated density (g/cm³): 8.83

4.
Material: TbYCl2O2
Method: DFT, PBE
State: optimized geometry

Unit cell a=3.8991 b=3.8991 c=6.6944 alpha=90.00 beta=90.00 gamma=90.00
With the nearest neighbours (Å) after each atom.
Atoms (fractional coordinates):
Cl: 0.0000 0.0000 0.3727  1 Tb 3.06, 4 Y 3.08, 4 O 3.16, 4 Cl 3.24
Y: 0.5000 0.5000 0.1691  4 O 2.25
Tb: 0.0000 0.0000 0.8299  4 O 2.26
O: 0.0000 0.5000 0.0003  2 Y 2.25, 2 Tb 2.26
Cl: 0.5000 0.5000 0.6278  1 Y 3.07, 4 Tb 3.07, 4 O 3.16, 4 Cl 3.24
O: 0.5000 0.0000 0.0003  2 Y 2.25, 2 Tb 2.26

Calculated values
VASP energy (eV per atom): -7.17
Total magnetization (μB per formula unit): 0.001
Symmetry: P4mm (99)
Calculated density (g/cm³): 5.72

5.
Material: Zr2O7
Method: DFT, PBE
State: optimized geometry

Unit cell a=5.6605 b=5.2159 c=10.2719 alpha=98.57 beta=90.00 gamma=122.86
With the nearest neighbours (Å) after each atom.
Atoms (fractional coordinates):
O: 0.0751 0.6597 0.7620  2 Zr 2.00-2.09
Zr: 0.3562 0.6141 0.6443  5 O 1.98-2.17
Zr: 0.2579 0.6140 0.1443  5 O 1.98-2.17
O: 0.6467 0.7474 0.4920  2 Zr 2.17, 2 O 2.22-2.33
O: 0.9119 0.3738 0.5280  1 O 1.36
O: 0.4619 0.3738 0.0280  1 O 1.36
O: 0.1007 0.7474 0.9920  2 Zr 2.17, 2 O 2.22-2.33
O: 0.5381 0.6262 0.9720  1 O 1.36
O: 0.9249 0.3403 0.2380  2 Zr 2.00-2.09
O: 0.0881 0.6262 0.4720  1 O 1.36
O: 0.8993 0.2526 0.0080  2 Zr 2.17, 2 O 2.22-2.33
O: 0.5847 0.6597 0.2620  2 Zr 2.00-2.09
O: 0.3533 0.2526 0.5080  2 Zr 2.17, 2 O 2.22-2.33
O: 0.6779 0.0000 0.7500  2 Zr 1.98
O: 0.4153 0.3403 0.7380  2 Zr 2.00-2.09
O: 0.3221 0.0000 0.2500  2 Zr 1.98
Zr: 0.6438 0.3860 0.3557  5 O 1.98-2.17
Zr: 0.7421 0.3860 0.8557  5 O 1.98-2.17

Calculated values
VASP energy (eV per atom): -7.37
Total magnetization (μB per formula unit): 1.999
Symmetry: C2/c (15)
Calculated density (g/cm³): 3.90

6.
Material: Cs2Gd2SO3
Method: DFT, PBE
State: optimized geometry

Unit cell a=3.6848 b=3.6848 c=14.3624 alpha=90.00 beta=90.00 gamma=120.00
With the nearest neighbours (Å) after each atom.
Atoms (fractional coordinates):
S: 0.0000 0.0000 0.9062  3 Gd 2.72
O: 0.3333 0.6667 0.0966  3 Gd 2.37
Gd: 0.6667 0.3333 0.0245  3 O 2.37
Cs: 0.3333 0.6667 0.7332  3 O 3.19, 3 S 3.27
O: 0.3333 0.6667 0.4132  3 Gd 2.43
Gd: 0.6667 0.3333 0.4951  6 O 2.37-2.43
Cs: 0.0000 0.0000 0.2631  6 O 3.03-3.20
O: 0.0000 0.0000 0.5681  3 Gd 2.37

Calculated values
VASP energy (eV per atom): -6.10
Total magnetization (μB per formula unit): 0.006
Symmetry: P3m1 (156)
Calculated density (g/cm³): 6.49

7.
Material: SrLuPt
Method: DFT, PBE
State: optimized geometry

Unit cell a=4.9658 b=4.9658 c=4.9658 alpha=60.00 beta=60.00 gamma=60.00
With the nearest neighbours (Å) after each atom.
Atoms (fractional coordinates):
Lu: 0.2500 0.2500 0.2500  4 Pt 3.04
Pt: 0.0000 0.0000 0.0000  4 Lu 3.04, 4 Sr 3.04
Sr: 0.7500 0.7500 0.7500  4 Pt 3.04

Calculated values
VASP energy (eV per atom): -4.71
Total magnetization (μB per formula unit): 0.000
Symmetry: F-43m (216)
Calculated density (g/cm³): 8.78

8.
Material: MgBi2Mo
Method: DFT, PBE
State: optimized geometry

Unit cell a=5.0993 b=5.0993 c=5.0993 alpha=60.00 beta=60.00 gamma=60.00
With the nearest neighbours (Å) after each atom.
Atoms (fractional coordinates):
Mg: 0.5000 0.5000 0.5000  4 Mo 3.12, 4 Bi 3.12
Mo: 0.2500 0.2500 0.2500  4 Bi 3.12, 4 Mg 3.12
Bi: 0.7500 0.7500 0.7500  4 Bi 3.12, 4 Mg 3.12
Bi: 0.0000 0.0000 0.0000  4 Mo 3.12, 4 Bi 3.12

Calculated values
VASP energy (eV per atom): -4.38
Total magnetization (μB per formula unit): 1.936
Symmetry: F-43m (216)
Calculated density (g/cm³): 9.53

9.
Material: TbErB3
Method: DFT, PBE
State: optimized geometry

Unit cell a=5.8995 b=3.2514 c=7.4777 alpha=90.00 beta=91.67 gamma=90.00
With the nearest neighbours (Å) after each atom.
Atoms (fractional coordinates):
B: 0.4207 0.2500 0.0008  3 B 1.88-2.01
Tb: 0.7402 0.2500 0.7418  9 B 2.59-2.77
Er: 0.2407 0.7500 0.7548  9 B 2.54-2.71
B: 0.9507 0.7500 0.4963  2 B 1.73
Tb: 0.2598 0.7500 0.2582  9 B 2.59-2.77
B: 0.9205 0.7500 0.9989  3 B 1.88-2.01
B: 0.5793 0.7500 0.9992  3 B 1.88-2.01
B: 0.0795 0.2500 0.0011  3 B 1.88-2.01
B: 0.0493 0.2500 0.5037  2 B 1.73
Er: 0.7593 0.2500 0.2452  9 B 2.54-2.71

Calculated values
VASP energy (eV per atom): -6.30
Total magnetization (μB per formula unit): 0.003
Symmetry: P2_1/m (11)
Calculated density (g/cm³): 8.31

10.
Material: TmHfTlTe3
Method: DFT, PBE
State: optimized geometry

Unit cell a=7.9859 b=7.9859 c=11.6488 alpha=90.00 beta=90.00 gamma=150.24
With the nearest neighbours (Å) after each atom.
Atoms (fractional coordinates):
Te: 0.6430 0.3570 0.0293  1 Hf 2.81, 2 Tm 3.03
Tl: 0.7626 0.2374 0.7500  2 Hf 3.31, 4 Te 3.60
Te: 0.3570 0.6430 0.9707  1 Hf 2.81, 2 Tm 3.03
Tm: 0.0000 0.0000 0.5000  6 Te 3.03-3.07
Te: 0.3570 0.6430 0.5293  1 Hf 2.81, 2 Tm 3.03
Tm: 0.0000 0.0000 0.0000  6 Te 3.03-3.07
Te: 0.0620 0.9380 0.7500  2 Hf 2.88, 2 Tm 3.07
Hf: 0.4308 0.5692 0.7500  4 Te 2.81-2.88
Tl: 0.2374 0.7626 0.2500  2 Hf 3.31, 4 Te 3.60
Te: 0.6430 0.3570 0.4707  1 Hf 2.81, 2 Tm 3.03
Te: 0.9380 0.0620 0.2500  2 Hf 2.88, 2 Tm 3.07
Hf: 0.5692 0.4308 0.2500  4 Te 2.81-2.88

Calculated values
VASP energy (eV per atom): -5.10
Total magnetization (μB per formula unit): 0.003
Symmetry: Cmcm (63)
Calculated density (g/cm³): 8.42

11.
Material: TmZrU
Method: DFT, PBE
State: optimized geometry

Unit cell a=4.9865 b=4.9865 c=4.9865 alpha=60.00 beta=60.00 gamma=60.00
With the nearest neighbours (Å) after each atom.
Atoms (fractional coordinates):
U: 0.0000 0.0000 0.0000  4 Tm 3.05, 4 Zr 3.05
Zr: 0.7500 0.7500 0.7500  4 U 3.05
Tm: 0.2500 0.2500 0.2500  4 U 3.05

Calculated values
Total magnetization (μB per formula unit): 4.767
Formation energy (meV/atom): 1288
Symmetry: F-43m (216)
Calculated density (g/cm³): 9.44

12.
Material: YNbSiNi
Method: DFT, PBE
State: optimized geometry

Unit cell a=4.5775 b=4.5775 c=4.5775 alpha=60.00 beta=60.00 gamma=60.00
With the nearest neighbours (Å) after each atom.
Atoms (fractional coordinates):
Y: 0.5000 0.5000 0.5000  4 Ni 2.80, 4 Nb 2.80
Si: 0.0000 0.0000 0.0000  4 Ni 2.80, 4 Nb 2.80
Ni: 0.7500 0.7500 0.7500  4 Si 2.80, 4 Y 2.80
Nb: 0.2500 0.2500 0.2500  4 Si 2.80, 4 Y 2.80

Calculated values
VASP energy (eV per atom): -6.76
Total magnetization (μB per formula unit): 0.790
Symmetry: F-43m (216)
Calculated density (g/cm³): 6.58